Density functional theory data (GGA-PBE) for crystalline AlRe2Cl at its relaxed geometry.

Cell lengths 7.111, 7.111, 5.083 Å; angles 90.00, 90.00, 90.00 degrees
Space group I-42d (No. 122)
Asymmetric unit:
Al (0.000, 0.000, 0.000) (multiplicity 4)
Re (0.171, 0.250, 0.625) (multiplicity 8)
Cl (0.000, 0.000, 0.500) (multiplicity 4)

Calculated values
Crystal system: tetragonal
Electronic total energy: -6.45 eV per atom
Mass density: 11.24 g/cm3